The following is a GGA-PBEsol calculation of an optimized crystal structure of CdTcSb, from the Alexandria database.

Cell: 3.394 3.394 9.577 Å, 90.00 90.00 90.00°
Space group I4mm (No. 107)
Inequivalent atoms, fractional coordinates:
Cd  0.000  0.000  0.000 [2 per cell]
Tc  0.000  0.000  0.323 [2 per cell]
Sb  0.000  0.000  0.693 [2 per cell]

## Properties
Distance to the lowest polymorph of the same formula ... 0 meV/atom
M_tot ... 0.0 μB per formula unit
Crystal system ... tetragonal
VASP energy ... -32.99 eV/cell